No. 1
NbSeCl3: relaxed, PBE.

abc: 6.370 6.822 12.068
angles: 90.00 98.85 90.00
Space group P2/c (No. 13)
Inequivalent atoms, fractional coordinates:
Nb  0.073  0.143  0.146 [4 per cell]
Se  0.171  0.423  0.302 [4 per cell]
Cl  0.155  0.176  0.543 [4 per cell]
Cl  0.247  0.052  0.803 [4 per cell]
Cl  0.357  0.290  0.070 [4 per cell]

Total magnetic moment in μB/cell: 0.00
E in eV for the cell shown: -98.354


No. 2
ZnIn2GaBr6: relaxed, PBE.

abc: 10.660 10.660 10.660
angles: 90.00 90.00 90.00
Space group Fm-3m (No. 225)
Inequivalent atoms, fractional coordinates:
Zn  0.000  0.000  0.000 [4 per cell]
In  0.250  0.250  0.250 [8 per cell]
Ga  0.000  0.000  0.500 [4 per cell]
Br  0.000  0.000  0.247 [24 per cell]

E in eV for the cell shown: -104.300


No. 3
BeTlCu2: relaxed, PBE.

abc: 6.090 6.090 6.090
angles: 90.00 90.00 90.00
Space group F-43m (No. 216)
Inequivalent atoms, fractional coordinates:
Be  0.000  0.000  0.000 [4 per cell]
Tl  0.250  0.250  0.750 [4 per cell]
Cu  0.000  0.000  0.500 [4 per cell]
Cu  0.250  0.250  0.250 [4 per cell]

E in eV for the cell shown: -47.733


No. 4
LiAlPt: relaxed, PBE.

abc: 5.197 4.275 7.680
angles: 90.00 90.00 90.00
Space group Pnma (No. 62)
Inequivalent atoms, fractional coordinates:
Li  0.034  0.250  0.247 [4 per cell]
Al  0.184  0.250  0.582 [4 per cell]
Pt  0.190  0.250  0.920 [4 per cell]

Energy above the lowest structure with this stoichiometry in meV per atom: 0
Total magnetic moment in μB/cell: 0.03
E in eV for the cell shown: -56.976


No. 5
CoB2W3: relaxed, PBE.

abc: 3.0863 3.0863 17.8137
angles: 90.00 90.00 120.00
Space group P6_3/mmc (No. 194)
Inequivalent atoms, fractional coordinates:
Co  0.0000  0.0000  0.2500 [2 per cell]
B  0.3333  0.6667  0.0750 [4 per cell]
W  0.0000  0.0000  0.0000 [2 per cell]
W  0.3333  0.6667  0.6434 [4 per cell]

Total magnetic moment in μB/cell: 0.73
E in eV for the cell shown: -118.455


No. 6
BeReGeBi: relaxed, PBE.

abc: 6.523 6.523 6.523
angles: 90.00 90.00 90.00
Space group F-43m (No. 216)
Inequivalent atoms, fractional coordinates:
Be  0.000  0.000  0.000 [4 per cell]
Re  0.250  0.250  0.250 [4 per cell]
Ge  0.000  0.000  0.500 [4 per cell]
Bi  0.250  0.250  0.750 [4 per cell]

Energy above the lowest structure with this stoichiometry in meV per atom: 80
Total magnetic moment in μB/cell: 0.29
E in eV for the cell shown: -83.198


No. 7
ZrBe2Sb: relaxed, PBE.

abc: 6.542 6.542 6.542
angles: 90.00 90.00 90.00
Space group F-43m (No. 216)
Inequivalent atoms, fractional coordinates:
Zr  0.000  0.000  0.000 [4 per cell]
Be  0.000  0.000  0.500 [4 per cell]
Be  0.250  0.250  0.250 [4 per cell]
Sb  0.250  0.250  0.750 [4 per cell]

Total magnetic moment in μB/cell: 1.46
E in eV for the cell shown: -71.663


No. 8
Y2Pt2O5: relaxed, PBE.

abc: 3.735 3.735 9.094
angles: 90.00 90.00 90.00
Space group P4/mmm (No. 123)
Inequivalent atoms, fractional coordinates:
Y  0.000  0.000  0.239 [2 per cell]
Pt  0.500  0.500  0.000 [1 per cell]
Pt  0.500  0.500  0.500 [1 per cell]
O  0.000  0.000  0.000 [1 per cell]
O  0.000  0.500  0.368 [4 per cell]

Energy above the lowest structure with this stoichiometry in meV per atom: 98
Total magnetic moment in μB/cell: 0.15
E in eV for the cell shown: -62.756


No. 9
CsNdZnO3: relaxed, PBE.

abc: 3.671 13.158 9.497
angles: 90.00 90.00 90.00
Space group Cmcm (No. 63)
Inequivalent atoms, fractional coordinates:
Cs  0.000  0.231  0.250 [4 per cell]
Nd  0.000  0.500  0.000 [4 per cell]
Zn  0.000  0.047  0.750 [4 per cell]
O  0.000  0.107  0.565 [8 per cell]
O  0.000  0.463  0.750 [4 per cell]

Total magnetic moment in μB/cell: 0.01
E in eV for the cell shown: -138.262


No. 10
Lu4AlGaN2: relaxed, PBE.

abc: 3.3879 3.3879 14.7078
angles: 90.00 90.00 120.00
Space group P-6m2 (No. 187)
Inequivalent atoms, fractional coordinates:
Lu  0.0000  0.0000  0.1579 [2 per cell]
Lu  0.3333  0.6667  0.3364 [2 per cell]
Al  0.0000  0.0000  0.5000 [1 per cell]
Ga  0.3333  0.6667  0.0000 [1 per cell]
N  0.6667  0.3333  0.2471 [2 per cell]

Total magnetic moment in μB/cell: 0.00
E in eV for the cell shown: -50.005


No. 11
LuTlZnS3: relaxed, PBE.

abc: 3.902 14.290 10.348
angles: 90.00 90.00 90.00
Space group Cmcm (No. 63)
Inequivalent atoms, fractional coordinates:
Lu  0.000  0.000  0.000 [4 per cell]
Tl  0.000  0.256  0.250 [4 per cell]
Zn  0.000  0.458  0.750 [4 per cell]
S  0.000  0.058  0.750 [4 per cell]
S  0.000  0.377  0.557 [8 per cell]

Energy above the lowest structure with this stoichiometry in meV per atom: 0
Total magnetic moment in μB/cell: 0.02
E in eV for the cell shown: -111.434


No. 12
HfMg: relaxed, PBE.

abc: 5.061 9.406 5.528
angles: 90.00 90.00 90.00
Space group Pmc2_1 (No. 26)
Inequivalent atoms, fractional coordinates:
Hf  0.000  0.077  0.000 [2 per cell]
Hf  0.000  0.245  0.498 [2 per cell]
Hf  0.500  0.242  0.187 [2 per cell]
Mg  0.000  0.414  0.003 [2 per cell]
Mg  0.500  0.087  0.681 [2 per cell]
Mg  0.500  0.415  0.686 [2 per cell]

Total magnetic moment in μB/cell: 0.03
E in eV for the cell shown: -66.894